CrCdO4F | the Alexandria database | GGA+U | optimized geometry; space-group type = No. 12; total DFT energy (no corrections) = -75.023 eV per cell
1.0
-4.2631 -1.0478 3.8596
2.3511 -4.0327 3.5182
2.1848 4.3086 4.6574
Cr Cd O F
2 2 8 2
Direct
0.6104 0.6104 0.7221
0.3896 0.3896 0.2779
0.1739 0.1739 0.8909
0.8261 0.8261 0.1091
0.3147 0.3147 0.5233
0.6853 0.6853 0.4767
0.1549 0.5197 0.1618
0.5781 0.5781 0.2632
0.4803 0.8451 0.8382
0.5197 0.1549 0.1618
0.4219 0.4219 0.7368
0.8451 0.4803 0.8382
0.0493 0.0493 0.1936
0.9507 0.9507 0.8064